i:
The following is a PBE calculation of a geometry-optimized ScNiCl2 structure, from Alexandria via LeMat-Bulk.

Geometry as CIF:
```
data_ScNiCl2
_chemical_formula_sum 'Sc4 Ni4 Cl8'
_cell_length_a 6.553
_cell_length_b 6.553
_cell_length_c 6.553
_cell_angle_alpha 90.00
_cell_angle_beta 90.00
_cell_angle_gamma 90.00
_space_group_name_H-M_alt 'F -4 3 m'
_space_group_IT_number 216
_space_group_name_Hall 'F -4 2 3'
loop_
_atom_site_label
_atom_site_fract_x
_atom_site_fract_y
_atom_site_fract_z
Sc1 0.000 0.000 0.000
Ni1 0.250 0.250 0.750
Cl1 0.000 0.000 0.500
Cl2 0.250 0.250 0.250
```

ii:
The following is a PBE calculation of a geometry-optimized ScNiCl2 structure, from Alexandria via LeMat-Bulk.

Geometry as CIF:
```
data_ScNiCl2
_chemical_formula_sum 'Sc3 Ni3 Cl6'
_cell_length_a 3.3220
_cell_length_b 3.3220
_cell_length_c 30.0150
_cell_angle_alpha 90.00
_cell_angle_beta 90.00
_cell_angle_gamma 120.00
_space_group_name_H-M_alt 'R -3 m'
_space_group_IT_number 166
_space_group_name_Hall '-R 3 2"'
loop_
_atom_site_label
_atom_site_fract_x
_atom_site_fract_y
_atom_site_fract_z
Sc1 0.0000 0.0000 0.0000
Ni1 0.0000 0.0000 0.5000
Cl1 0.0000 0.0000 0.2784
```

iii:
The following is a PBE calculation of a geometry-optimized ScNiCl2 structure, from Alexandria via LeMat-Bulk.

Geometry as CIF:
```
data_ScNiCl2
_chemical_formula_sum 'Sc4 Ni4 Cl8'
_cell_length_a 6.377
_cell_length_b 6.377
_cell_length_c 6.377
_cell_angle_alpha 90.00
_cell_angle_beta 90.00
_cell_angle_gamma 90.00
_space_group_name_H-M_alt 'F m -3 m'
_space_group_IT_number 225
_space_group_name_Hall '-F 4 2 3'
loop_
_atom_site_label
_atom_site_fract_x
_atom_site_fract_y
_atom_site_fract_z
Sc1 0.000 0.000 0.000
Ni1 0.000 0.000 0.500
Cl1 0.250 0.250 0.250
```

What are the relative energies? In meV per atom: i 273; ii 0; iii 85.

i:
The following is a PBE calculation of a geometry-optimized ScNiCl2 structure, from Alexandria via LeMat-Bulk.

Geometry as CIF:
```
data_ScNiCl2
_chemical_formula_sum 'Sc2 Ni2 Cl4'
_cell_length_a 11.999
_cell_length_b 3.320
_cell_length_c 4.947
_cell_angle_alpha 90.00
_cell_angle_beta 101.14
_cell_angle_gamma 90.00
_space_group_name_H-M_alt 'C 1 m 1'
_space_group_IT_number 8
_space_group_name_Hall 'C -2y'
loop_
_atom_site_label
_atom_site_fract_x
_atom_site_fract_y
_atom_site_fract_z
Sc1 0.000 0.000 0.000
Ni1 0.124 0.500 0.816
Cl1 0.109 0.500 0.349
Cl2 0.335 0.000 0.904
```

ii:
The following is a PBE calculation of a geometry-optimized ScNiCl2 structure, from Alexandria via LeMat-Bulk.

Geometry as CIF:
```
data_ScNiCl2
_chemical_formula_sum 'Sc1 Ni1 Cl2'
_cell_length_a 3.316
_cell_length_b 3.316
_cell_length_c 7.562
_cell_angle_alpha 90.00
_cell_angle_beta 90.00
_cell_angle_gamma 90.00
_space_group_name_H-M_alt 'P 4 m m'
_space_group_IT_number 99
_space_group_name_Hall 'P 4 -2'
loop_
_atom_site_label
_atom_site_fract_x
_atom_site_fract_y
_atom_site_fract_z
Sc1 0.000 0.000 0.000
Ni1 0.500 0.500 0.822
Cl1 0.000 0.000 0.669
Cl2 0.500 0.500 0.206
```

iii:
The following is a PBE calculation of a geometry-optimized ScNiCl2 structure, from Alexandria via LeMat-Bulk.

Geometry as CIF:
```
data_ScNiCl2
_chemical_formula_sum 'Sc1 Ni1 Cl2'
_cell_length_a 3.329
_cell_length_b 3.838
_cell_length_c 5.353
_cell_angle_alpha 90.00
_cell_angle_beta 90.00
_cell_angle_gamma 90.00
_space_group_name_H-M_alt 'P m m m'
_space_group_IT_number 47
_space_group_name_Hall '-P 2 2'
loop_
_atom_site_label
_atom_site_fract_x
_atom_site_fract_y
_atom_site_fract_z
Sc1 0.000 0.000 0.000
Ni1 0.500 0.000 0.500
Cl1 0.000 0.500 0.500
Cl2 0.500 0.500 0.000
```

iv:
The following is a PBE calculation of a geometry-optimized ScNiCl2 structure, from Alexandria via LeMat-Bulk.

Geometry as CIF:
```
data_ScNiCl2
_chemical_formula_sum 'Sc2 Ni2 Cl4'
_cell_length_a 3.481
_cell_length_b 4.052
_cell_length_c 13.846
_cell_angle_alpha 90.00
_cell_angle_beta 90.00
_cell_angle_gamma 90.00
_space_group_name_H-M_alt 'I m m m'
_space_group_IT_number 71
_space_group_name_Hall '-I 2 2'
loop_
_atom_site_label
_atom_site_fract_x
_atom_site_fract_y
_atom_site_fract_z
Sc1 0.000 0.000 0.000
Ni1 0.000 0.000 0.500
Cl1 0.000 0.500 0.368
```

What are the relative energies? In meV per atom: i 0; ii 58; iii 354; iv 36.

i:
The following is a PBE calculation of a geometry-optimized ScNiCl2 structure, from Alexandria via LeMat-Bulk.

Geometry as CIF:
```
data_ScNiCl2
_chemical_formula_sum 'Sc2 Ni2 Cl4'
_cell_length_a 13.381
_cell_length_b 3.434
_cell_length_c 4.164
_cell_angle_alpha 90.00
_cell_angle_beta 91.56
_cell_angle_gamma 90.00
_space_group_name_H-M_alt 'C 1 2/m 1'
_space_group_IT_number 12
_space_group_name_Hall '-C 2y'
loop_
_atom_site_label
_atom_site_fract_x
_atom_site_fract_y
_atom_site_fract_z
Sc1 0.000 0.000 0.000
Ni1 0.000 0.500 0.500
Cl1 0.133 0.500 0.223
```

ii:
The following is a PBE calculation of a geometry-optimized ScNiCl2 structure, from Alexandria via LeMat-Bulk.

Geometry as CIF:
```
data_ScNiCl2
_chemical_formula_sum 'Sc2 Ni2 Cl4'
_cell_length_a 3.608
_cell_length_b 3.608
_cell_length_c 10.319
_cell_angle_alpha 90.00
_cell_angle_beta 90.00
_cell_angle_gamma 90.00
_space_group_name_H-M_alt 'I -4 m 2'
_space_group_IT_number 119
_space_group_name_Hall 'I -4 -2'
loop_
_atom_site_label
_atom_site_fract_x
_atom_site_fract_y
_atom_site_fract_z
Sc1 0.000 0.000 0.000
Ni1 0.000 0.500 0.250
Cl1 0.000 0.000 0.500
Cl2 0.000 0.500 0.750
```

What are the relative energies? In meV per atom: i 0; ii 448.

i:
The following is a PBE calculation of a geometry-optimized NiSe2Cl structure, from Alexandria via LeMat-Bulk.

Geometry as CIF:
```
data_NiSe2Cl
_chemical_formula_sum 'Ni4 Se8 Cl4'
_cell_length_a 3.103
_cell_length_b 23.690
_cell_length_c 4.602
_cell_angle_alpha 90.00
_cell_angle_beta 90.00
_cell_angle_gamma 90.00
_space_group_name_H-M_alt 'C m c m'
_space_group_IT_number 63
_space_group_name_Hall '-C 2c 2'
loop_
_atom_site_label
_atom_site_fract_x
_atom_site_fract_y
_atom_site_fract_z
Ni1 0.000 0.061 0.250
Se1 0.000 0.038 0.750
Se2 0.000 0.156 0.250
Cl1 0.000 0.329 0.250
```

ii:
The following is a PBE calculation of a geometry-optimized NiSe2Cl structure, from Alexandria via LeMat-Bulk.

Geometry as CIF:
```
data_NiSe2Cl
_chemical_formula_sum 'Ni4 Se8 Cl4'
_cell_length_a 8.658
_cell_length_b 8.658
_cell_length_c 5.235
_cell_angle_alpha 90.00
_cell_angle_beta 90.00
_cell_angle_gamma 90.00
_space_group_name_H-M_alt 'I 4/m c m'
_space_group_IT_number 140
_space_group_name_Hall '-I 4 2c'
loop_
_atom_site_label
_atom_site_fract_x
_atom_site_fract_y
_atom_site_fract_z
Ni1 0.000 0.500 0.250
Se1 0.149 0.351 0.000
Cl1 0.000 0.000 0.250
```

What are the relative energies? In meV per atom: i 0; ii 93.

i:
The following is a PBE calculation of a geometry-optimized NiSeCl2 structure, from Alexandria via LeMat-Bulk.

Geometry as CIF:
```
data_NiSeCl2
_chemical_formula_sum 'Ni3 Se3 Cl6'
_cell_length_a 3.4812
_cell_length_b 3.4812
_cell_length_c 24.0265
_cell_angle_alpha 90.00
_cell_angle_beta 90.00
_cell_angle_gamma 120.00
_space_group_name_H-M_alt 'R 3 m'
_space_group_IT_number 160
_space_group_name_Hall 'R 3 -2"'
loop_
_atom_site_label
_atom_site_fract_x
_atom_site_fract_y
_atom_site_fract_z
Ni1 0.0000 0.0000 0.0000
Se1 0.0000 0.0000 0.2779
Cl1 0.0000 0.0000 0.5320
Cl2 0.0000 0.0000 0.7202
```

ii:
The following is a PBE calculation of a geometry-optimized NiSeCl2 structure, from Alexandria via LeMat-Bulk.

Geometry as CIF:
```
data_NiSeCl2
_chemical_formula_sum 'Ni1 Se1 Cl2'
_cell_length_a 2.947
_cell_length_b 2.947
_cell_length_c 11.010
_cell_angle_alpha 90.00
_cell_angle_beta 90.00
_cell_angle_gamma 90.00
_space_group_name_H-M_alt 'P 4/m m m'
_space_group_IT_number 123
_space_group_name_Hall '-P 4 2'
loop_
_atom_site_label
_atom_site_fract_x
_atom_site_fract_y
_atom_site_fract_z
Ni1 0.000 0.000 0.000
Se1 0.000 0.000 0.500
Cl1 0.500 0.500 0.135
```

What are the relative energies? In meV per atom: i 0; ii 488.

i:
The following is a PBE calculation of a geometry-optimized NiSe3Cl structure, from Alexandria via LeMat-Bulk.

Geometry as CIF:
```
data_NiSe3Cl
_chemical_formula_sum 'Ni1 Se3 Cl1'
_cell_length_a 4.729
_cell_length_b 4.729
_cell_length_c 4.729
_cell_angle_alpha 90.00
_cell_angle_beta 90.00
_cell_angle_gamma 90.00
_space_group_name_H-M_alt 'P m -3 m'
_space_group_IT_number 221
_space_group_name_Hall '-P 4 2 3'
loop_
_atom_site_label
_atom_site_fract_x
_atom_site_fract_y
_atom_site_fract_z
Ni1 0.000 0.000 0.000
Se1 0.000 0.000 0.500
Cl1 0.500 0.500 0.500
```

ii:
The following is a PBE calculation of a geometry-optimized NiSe3Cl structure, from Alexandria via LeMat-Bulk.

Geometry as CIF:
```
data_NiSe3Cl
_chemical_formula_sum 'Ni1 Se3 Cl1'
_cell_length_a 4.937
_cell_length_b 4.937
_cell_length_c 4.937
_cell_angle_alpha 90.00
_cell_angle_beta 90.00
_cell_angle_gamma 90.00
_space_group_name_H-M_alt 'P m -3 m'
_space_group_IT_number 221
_space_group_name_Hall '-P 4 2 3'
loop_
_atom_site_label
_atom_site_fract_x
_atom_site_fract_y
_atom_site_fract_z
Ni1 0.000 0.000 0.000
Se1 0.000 0.500 0.500
Cl1 0.500 0.500 0.500
```

iii:
The following is a PBE calculation of a geometry-optimized NiSe3Cl structure, from Alexandria via LeMat-Bulk.

Geometry as CIF:
```
data_NiSe3Cl
_chemical_formula_sum 'Ni2 Se6 Cl2'
_cell_length_a 7.0993
_cell_length_b 7.0993
_cell_length_c 4.8969
_cell_angle_alpha 90.00
_cell_angle_beta 90.00
_cell_angle_gamma 120.00
_space_group_name_H-M_alt 'P -3 m 1'
_space_group_IT_number 164
_space_group_name_Hall '-P 3 2"'
loop_
_atom_site_label
_atom_site_fract_x
_atom_site_fract_y
_atom_site_fract_z
Ni1 0.0000 0.0000 0.0000
Ni2 0.0000 0.0000 0.5000
Se1 0.1647 0.3294 0.2503
Cl1 0.3333 0.6667 0.7510
```

What are the relative energies? In meV per atom: i 342; ii 1169; iii 0.